# 1
Entry from the Alexandria database: crystalline Sc2CrMo at its relaxed geometry (GGA-PBE).

## Properties
* spin magnetization: 0.89 μB/f.u.
* distance to the lowest polymorph of the same formula: 149 meV per atom
* uncorrected energy: -8.0524 eV/atom
* formation energy: 0.227 eV per atom

Unit cell a=3.042 b=4.175 c=5.867 alpha=90.00 beta=102.25 gamma=90.00
Atoms (fractional coordinates):
Sc (0.000, 0.000, 0.000)
Sc (0.273, 0.500, 0.681)
Cr (0.716, 0.500, 0.249)
Mo (0.556, 0.000, 0.433)


# 2
Entry from the Alexandria database: crystalline Sc2CrMo at its relaxed geometry (GGA-PBE).

## Properties
* spin magnetization: 0.02 μB/f.u.
* distance to the lowest polymorph of the same formula: 638 meV per atom
* uncorrected energy: -7.5633 eV/atom
* formation energy: 0.716 eV per atom

Unit cell a=9.921 b=9.921 c=9.921 alpha=16.88 beta=16.88 gamma=16.88
Atoms (fractional coordinates):
Sc (0.085, 0.085, 0.085)
Sc (0.915, 0.915, 0.915)
Cr (0.000, 0.000, 0.000)
Mo (0.500, 0.500, 0.500)


# 3
Entry from the Alexandria database: crystalline Sc2CrMo at its relaxed geometry (GGA-PBE).

## Properties
* spin magnetization: 0.12 μB/f.u.
* distance to the lowest polymorph of the same formula: 326 meV per atom
* uncorrected energy: -7.8749 eV/atom
* formation energy: 0.404 eV per atom

Unit cell a=5.338 b=5.338 c=5.338 alpha=137.18 beta=137.18 gamma=62.17
Atoms (fractional coordinates):
Sc (0.250, 0.750, 0.500)
Sc (0.750, 0.250, 0.500)
Cr (0.000, 0.000, 0.000)
Mo (0.500, 0.500, 0.000)


# 4
Entry from the Alexandria database: crystalline Sc2CrMo at its relaxed geometry (GGA-PBE).

## Properties
* spin magnetization: 3.95 μB/f.u.
* distance to the lowest polymorph of the same formula: 239 meV per atom
* uncorrected energy: -7.9621 eV/atom
* formation energy: 0.317 eV per atom

Unit cell a=3.367 b=3.367 c=6.566 alpha=90.00 beta=90.00 gamma=90.00
Atoms (fractional coordinates):
Sc (0.000, 0.000, 0.241)
Sc (0.000, 0.000, 0.759)
Cr (0.500, 0.500, 0.500)
Mo (0.500, 0.500, 0.000)


Question: Among the records above, which one has the lowest spin magnetization?
Answer: number 2


Question: Among the records above, which one has the highest distance to the lowest polymorph of the same formula?
Answer: number 2


Question: Which of these has the lowest formation energy?
Answer: number 1


Repeat the first record exactly.
Entry from the Alexandria database: crystalline Sc2CrMo at its relaxed geometry (GGA-PBE).

## Properties
* spin magnetization: 0.89 μB/f.u.
* distance to the lowest polymorph of the same formula: 149 meV per atom
* uncorrected energy: -8.0524 eV/atom
* formation energy: 0.227 eV per atom

Unit cell a=3.042 b=4.175 c=5.867 alpha=90.00 beta=102.25 gamma=90.00
Atoms (fractional coordinates):
Sc (0.000, 0.000, 0.000)
Sc (0.273, 0.500, 0.681)
Cr (0.716, 0.500, 0.249)
Mo (0.556, 0.000, 0.433)